1.
Entry from Alexandria: CaGdHg after structural relaxation (PBE).

Cell lengths 5.1990, 5.1990, 5.1990 Å; angles 60.00, 60.00, 60.00 degrees
Closest atoms and distances in Å follow each position.
Fractional positions:
Hg (0.2500, 0.2500, 0.2500)  4 Ca 3.18, 4 Gd 3.18
Ca (0.5000, 0.5000, 0.5000)  4 Hg 3.18
Gd (0.0000, 0.0000, 0.0000)  4 Hg 3.18

Output
SG: F-43m
Offset from the most stable computed form: 0.121 eV per atom
Volume: 33.1 Å³/atom
Formation enthalpy at 0 K: -0.20 eV per atom
Magnetic moment: 2.546 μB/atom

---

2.
Entry from Alexandria: CaGdInHg after structural relaxation (PBE).

Cell lengths 5.3758, 5.3758, 5.3758 Å; angles 60.00, 60.00, 60.00 degrees
Closest atoms and distances in Å follow each position.
Fractional positions:
Hg (0.5000, 0.5000, 0.5000)  4 Gd 3.29, 4 Ca 3.29
Gd (0.7500, 0.7500, 0.7500)  4 In 3.29, 4 Hg 3.29
Ca (0.2500, 0.2500, 0.2500)  4 Hg 3.29, 4 In 3.29
In (0.0000, 0.0000, 0.0000)  4 Ca 3.29, 4 Gd 3.29

Output
SG: F-43m
Volume: 27.5 Å³/atom
Formation enthalpy at 0 K: -0.51 eV per atom
Magnetic moment: 1.761 μB/atom

---

3.
Entry from Alexandria: CaGdNiHg after structural relaxation (PBE).

Cell lengths 5.1026, 5.1026, 5.1026 Å; angles 60.00, 60.00, 60.00 degrees
Closest atoms and distances in Å follow each position.
Fractional positions:
Gd (0.7500, 0.7500, 0.7500)  4 Ni 3.12, 4 Hg 3.12
Ni (0.0000, 0.0000, 0.0000)  4 Ca 3.12, 4 Gd 3.12
Ca (0.2500, 0.2500, 0.2500)  4 Hg 3.12, 4 Ni 3.12
Hg (0.5000, 0.5000, 0.5000)  4 Gd 3.12, 4 Ca 3.12

Output
SG: F-43m
Volume: 23.5 Å³/atom
Formation enthalpy at 0 K: -0.27 eV per atom
Magnetic moment: 1.808 μB/atom